(1)
Material: Ta2Ti2W
Method: DFT, GGA-PBE
State: relaxed

Cell: 4.481 5.455 7.724 Å, 90.00 90.00 90.00°
Atoms (fractional coordinates):
1 Ti 0.500 0.758 0.402
2 Ti 0.500 0.242 0.598
3 Ti 0.500 0.742 0.902
4 Ti 0.500 0.258 0.098
5 W 0.000 0.500 0.500
6 W 0.000 0.000 0.000
7 Ta 0.000 0.074 0.333
8 Ta 0.000 0.926 0.667
9 Ta 0.000 0.574 0.167
10 Ta 0.000 0.426 0.833

Calculated formation energy, meV/atom: 344.5
Mass density, g/cm3: 11.3
N(E_F), states/eV per cell: 7.84

---

(2)
Material: BaHfBi
Method: DFT, GGA-PBE
State: relaxed

Cell: 4.538 4.538 10.306 Å, 90.00 90.00 90.00°
Atoms (fractional coordinates):
1 Bi 0.000 0.500 0.297
2 Bi 0.500 0.000 0.703
3 Ba 0.000 0.500 0.829
4 Ba 0.500 0.000 0.171
5 Hf 0.500 0.500 0.500
6 Hf 0.000 0.000 0.500

Calculated formation energy, meV/atom: -366.8
Mass density, g/cm3: 8.2
N(E_F), states/eV per cell: 2.80

---

(3)
Material: Fe2RuS
Method: DFT, GGA-PBE
State: relaxed

Cell: 5.067 5.067 6.172 Å, 65.77 65.77 90.00°
Atoms (fractional coordinates):
1 Fe 0.600 0.125 0.250
2 Fe 0.875 0.850 0.750
3 Fe 0.150 0.625 0.250
4 Fe 0.375 0.400 0.750
5 Ru 0.750 0.250 0.500
6 Ru 0.000 0.000 0.000
7 S 0.500 0.500 0.000
8 S 0.250 0.750 0.500

Energy relative to the elements, uncorrected, eV per formula unit: 2.09
Mass density, g/cm3: 6.3
N(E_F), states/eV per cell: 4.11